Entry 1:
Density functional theory data (PBE+U) for KVH2O after structural relaxation.

The structure in CIF format:
```
data_KVH2O
_symmetry_space_group_name_H-M 'P 1'
_symmetry_Int_Tables_number 1
_cell_length_a 3.673
_cell_length_b 7.742
_cell_length_c 3.673
_cell_angle_alpha 90.00
_cell_angle_beta 90.00
_cell_angle_gamma 90.00
loop_
_symmetry_equiv_pos_as_xyz
'x,y,z'
loop_
_atom_site_label
_atom_site_fract_x
_atom_site_fract_y
_atom_site_fract_z
_atom_site_occupancy
H1 0.000 0.000 0.500 1
H2 0.500 0.000 0.000 1
K1 0.000 0.500 0.000 1
O1 0.500 0.500 0.500 1
V1 0.000 0.000 0.000 1
```



Entry 2:
Density functional theory data (PBE+U) for KV2HO6 after structural relaxation.

The structure in CIF format:
```
data_KV2HO6
_symmetry_space_group_name_H-M 'P 1'
_symmetry_Int_Tables_number 1
_cell_length_a 5.978
_cell_length_b 8.094
_cell_length_c 8.094
_cell_angle_alpha 98.22
_cell_angle_beta 79.72
_cell_angle_gamma 79.72
loop_
_symmetry_equiv_pos_as_xyz
'x,y,z'
loop_
_atom_site_label
_atom_site_fract_x
_atom_site_fract_y
_atom_site_fract_z
_atom_site_occupancy
K1 0.250 0.843 0.157 1
K2 0.750 0.157 0.843 1
V1 0.293 0.798 0.655 1
V2 0.207 0.345 0.202 1
V3 0.707 0.202 0.345 1
V4 0.793 0.655 0.798 1
H1 0.250 0.082 0.918 1
H2 0.750 0.918 0.082 1
O1 0.206 0.971 0.822 1
O2 0.294 0.178 0.029 1
O3 0.794 0.029 0.178 1
O4 0.706 0.822 0.971 1
O5 0.317 0.862 0.471 1
O6 0.183 0.529 0.138 1
O7 0.683 0.138 0.529 1
O8 0.817 0.471 0.862 1
O9 0.068 0.674 0.675 1
O10 0.432 0.325 0.326 1
O11 0.932 0.326 0.325 1
O12 0.568 0.675 0.674 1
```



Electronic total energy for the records above, in order: -18.513; -66.674 eV per formula unit